RbIn5Hg2: relaxed, PBE.

Structure (CIF):
```
data_RbIn5Hg2
_symmetry_space_group_name_H-M 'C 1 2/m 1'
_symmetry_Int_Tables_number 12
_cell_length_a 12.790
_cell_length_b 8.471
_cell_length_c 4.812
_cell_angle_alpha 90.00
_cell_angle_beta 111.96
_cell_angle_gamma 90.00
loop_
_symmetry_equiv_pos_as_xyz
'x,y,z'
'-x,-y,-z'
'-x,y,-z'
'x,-y,z'
'x+1/2,y+1/2,z'
'-x+1/2,-y+1/2,-z'
'-x+1/2,y+1/2,-z'
'x+1/2,-y+1/2,z'
loop_
_atom_site_label
_atom_site_fract_x
_atom_site_fract_y
_atom_site_fract_z
Rb1 0.000 0.000 0.000
In1 0.000 0.500 0.000
In2 0.136 0.314 0.634
Hg1 0.241 0.000 0.748
```


ZrCr: relaxed, PBE.

Structure (CIF):
```
data_ZrCr
_symmetry_space_group_name_H-M 'P -1'
_symmetry_Int_Tables_number 2
_cell_length_a 3.123
_cell_length_b 4.624
_cell_length_c 5.451
_cell_angle_alpha 114.93
_cell_angle_beta 101.98
_cell_angle_gamma 90.04
loop_
_symmetry_equiv_pos_as_xyz
'x,y,z'
'-x,-y,-z'
loop_
_atom_site_label
_atom_site_fract_x
_atom_site_fract_y
_atom_site_fract_z
Zr1 0.160 0.362 0.223
Cr1 0.321 0.084 0.670
```


Ce4Hg5Rh2: relaxed, PBE.

Structure (CIF):
```
data_Ce4Hg5Rh2
_symmetry_space_group_name_H-M 'P 1 2/m 1'
_symmetry_Int_Tables_number 10
_cell_length_a 7.875
_cell_length_b 3.661
_cell_length_c 9.644
_cell_angle_alpha 90.00
_cell_angle_beta 94.87
_cell_angle_gamma 90.00
loop_
_symmetry_equiv_pos_as_xyz
'x,y,z'
'-x,-y,-z'
'-x,y,-z'
'x,-y,z'
loop_
_atom_site_label
_atom_site_fract_x
_atom_site_fract_y
_atom_site_fract_z
Ce1 0.185 0.000 0.347
Ce2 0.220 0.000 0.938
Hg1 0.165 0.500 0.640
Hg2 0.460 0.500 0.170
Hg3 0.500 0.500 0.500
Rh1 0.082 0.500 0.142
```


K4TlIn4: relaxed, PBE.

Structure (CIF):
```
data_K4TlIn4
_symmetry_space_group_name_H-M 'I -4 2 m'
_symmetry_Int_Tables_number 121
_symmetry_space_group_name_Hall 'I -4 2'
_cell_length_a 5.634
_cell_length_b 5.634
_cell_length_c 22.981
_cell_angle_alpha 90.00
_cell_angle_beta 90.00
_cell_angle_gamma 90.00
loop_
_atom_site_label
_atom_site_fract_x
_atom_site_fract_y
_atom_site_fract_z
K1 0.218 0.218 0.387
Tl1 0.000 0.000 0.000
In1 0.201 0.201 0.217
```


Number 1: calculated density 7.29 g/cm³, E_tot -31.826 eV for the cell shown. Number 2: calculated density 6.85 g/cm³, E_tot -35.665 eV for the cell shown. Number 3: calculated density 10.60 g/cm³, E_tot -45.287 eV for the cell shown. Number 4: calculated density 3.73 g/cm³, E_tot -34.865 eV for the cell shown.